(1)
The following is a DFT calculation (PBE) of SrScAuSe3 after structural relaxation.

The structure belongs to space group P2_1/m (No. 11); the cell edges are 7.8964, 4.0234 and 9.5316 Å and the angles 90.00°, 106.09° and 90.00°. The inequivalent atoms are Sr at (0.2240, 0.2500, 0.2697), Sc at (0.3207, 0.7500, 0.8346), Au at (0.1125, 0.2500, 0.5914), Se at (0.0886, 0.2500, 0.8589), Se at (0.3087, 0.7500, 0.5409) and Se at (0.4329, 0.7500, 0.1333).

Its total energy is -0.368 Ry/atom.



(2)
The following is a DFT calculation (PBE) of TmLuReSi2 after structural relaxation.

The structure belongs to space group C2/m (No. 12); the cell edges are 10.7269, 4.1322 and 9.8880 Å and the angles 90.00°, 118.37° and 90.00°. The inequivalent atoms are Tm at (0.0091, 0.0000, 0.1798), Lu at (0.1862, 0.0000, 0.6117), Re at (0.2277, 0.5000, 0.8691), Si at (0.0037, 0.5000, 0.3779) and Si at (0.1366, 0.5000, 0.0583).

Its total energy is -0.524 Ry/atom.



(3)
The following is a DFT calculation (PBE) of TbSbN2O after structural relaxation.

The structure belongs to space group P6_3cm (No. 185); the cell edges are 6.4896, 6.4896 and 12.0089 Å and the angles 90.00°, 90.00° and 120.00°. The inequivalent atoms are Tb at (0.0000, 0.0000, 0.0000), Tb at (0.3333, 0.6667, 0.4712), Sb at (0.0000, 0.3338, 0.2338), N at (0.0000, 0.3124, 0.3948), N at (0.0000, 0.3551, 0.0734), O at (0.0000, 0.0000, 0.2092) and O at (0.3333, 0.6667, 0.2540).

Its total energy is -0.507 Ry/atom.



(4)
The following is a DFT calculation (PBE) of Tb6SiSe3 after structural relaxation.

The structure belongs to space group I4/mmm (No. 139); the cell edges are 7.8821, 7.8821 and 10.7216 Å and the angles 90.00°, 90.00° and 90.00°. The inequivalent atoms are Tb at (0.0000, 0.0000, 0.2484), Tb at (0.0000, 0.3243, 0.5000), Si at (0.0000, 0.0000, 0.5000), Se at (0.0000, 0.0000, 0.0000) and Se at (0.0000, 0.5000, 0.2500).

Its total energy is -0.342 Ry/atom.



(5)
The following is a DFT calculation (PBE) of YHoLu after structural relaxation.

The structure belongs to space group F-43m (No. 216); the cell edges are 7.5988, 7.5988 and 7.5988 Å and the angles 90.00°, 90.00° and 90.00°. The inequivalent atoms are Y at (0.0000, 0.0000, 0.0000), Ho at (0.0000, 0.0000, 0.5000) and Lu at (0.2500, 0.2500, 0.7500).

For the formation energy, the calculation gives 0.72 eV per atom.



(6)
The following is a DFT calculation (PBE) of ErPuSn after structural relaxation.

The structure belongs to space group F-43m (No. 216); the cell edges are 7.2179, 7.2179 and 7.2179 Å and the angles 90.00°, 90.00° and 90.00°. The inequivalent atoms are Er at (0.0000, 0.0000, 0.0000), Pu at (0.2500, 0.2500, 0.7500) and Sn at (0.2500, 0.2500, 0.2500).

Its total energy is -0.550 Ry/atom.



(7)
The following is a DFT calculation (PBE) of Zr2Nb after structural relaxation.

The structure belongs to space group Cmcm (No. 63); the cell edges are 8.9326, 5.6589 and 5.0823 Å and the angles 90.00°, 90.00° and 90.00°. The inequivalent atoms are Zr at (0.1639, 0.1398, 0.2500) and Nb at (0.0000, 0.3713, 0.7500).

For the formation energy, the calculation gives 0.14 eV per atom.



(8)
The following is a DFT calculation (PBE) of NdSn2Hg after structural relaxation.

The structure belongs to space group P4/mmm (No. 123); the cell edges are 4.7779, 4.7779 and 4.5812 Å and the angles 90.00°, 90.00° and 90.00°. The inequivalent atoms are Nd at (0.0000, 0.0000, 0.0000), Sn at (0.0000, 0.5000, 0.5000) and Hg at (0.5000, 0.5000, 0.0000).

Its total energy is -0.277 Ry/atom.



(9)
The following is a DFT calculation (PBE) of Nd3Mg3CdPt2 after structural relaxation.

The structure belongs to space group P-62m (No. 189); the cell edges are 7.6834, 7.6834 and 4.2078 Å and the angles 90.00°, 90.00° and 120.00°. The inequivalent atoms are Nd at (0.0000, 0.4229, 0.0000), Mg at (0.0000, 0.7445, 0.5000), Cd at (0.0000, 0.0000, 0.0000) and Pt at (0.3333, 0.6667, 0.5000).

Its total energy is -0.310 Ry/atom.



(10)
The following is a DFT calculation (PBE) of YAl2Co after structural relaxation.

The structure belongs to space group Cmcm (No. 63); the cell edges are 4.0159, 10.1017 and 6.9831 Å and the angles 90.00°, 90.00° and 90.00°. The inequivalent atoms are Y at (0.0000, 0.0599, 0.2500), Al at (0.0000, 0.3392, 0.0559) and Co at (0.0000, 0.2166, 0.7500).

Its total energy is -0.427 Ry/atom.



(11)
The following is a DFT calculation (PBE) of Nb2P after structural relaxation.

The structure belongs to space group Fd-3m (No. 227, origin choice 2); the cell edges are 11.2207, 11.2207 and 11.2207 Å and the angles 90.00°, 90.00° and 90.00°. The inequivalent atoms are Nb at (0.0000, 0.0000, 0.0000) and P at (0.1250, 0.1250, 0.1250).

Its total energy is -0.462 Ry/atom.



(12)
The following is a DFT calculation (PBE) of TbGd2Ga3NiSn2 after structural relaxation.

The structure belongs to space group Amm2 (No. 38); the cell edges are 4.2899, 12.6500 and 7.3233 Å and the angles 90.00°, 90.00° and 90.00°. The inequivalent atoms are Tb at (0.0000, 0.0000, 0.0000), Gd at (0.0000, 0.1891, 0.4338), Ga at (0.5000, 0.0000, 0.4040), Ga at (0.5000, 0.1099, 0.7329), Ni at (0.0000, 0.0000, 0.6244) and Sn at (0.5000, 0.1660, 0.1228).

Its total energy is -0.345 Ry/atom.